Material: NaY2Se2
Method: DFT, PBE
State: optimized geometry

Cell and atoms, written as POSCAR:
```
NaY2Se2
1.0
-4.565 -2.119 0.069
2.117 -4.565 -0.086
-1.096 -3.405 6.478
Y Na Se
2 1 2
Cartesian
-3.442 -4.433 3.269
-0.101 -5.656 3.191
0.000 0.000 0.000
-1.185 -3.361 1.950
-2.358 -6.728 4.510
```

offset from the most stable computed form: 180 meV per atom
total magnetic moment: 0.0 μB per cell
raw formation energy: -1.062 eV/atom

***

Material: NaYSe2
Method: DFT, PBE
State: optimized geometry

Cell and atoms, written as POSCAR:
```
NaYSe2
1.0
-3.310 -2.306 -0.043
0.200 -3.792 -1.362
0.531 -4.411 6.384
Na Y Se
1 1 2
Cartesian
-1.550 -8.464 5.410
-1.286 -5.259 2.504
0.118 -3.784 4.577
-0.618 -2.667 1.360
```

total magnetic moment: 0.0 μB per cell
raw formation energy: -1.597 eV/atom

***

Material: NaY3Se4
Method: DFT, PBE
State: optimized geometry

Cell and atoms, written as POSCAR:
```
NaY3Se4
1.0
4.082 0.000 0.000
0.000 7.134 -0.040
0.000 -2.287 6.757
Na Y Se
1 3 4
Cartesian
2.041 0.000 0.000
0.000 -1.144 3.379
2.041 2.423 3.359
0.000 3.567 -0.020
0.000 1.230 1.704
2.041 4.780 1.658
0.000 3.617 5.013
2.041 0.067 5.059
```

offset from the most stable computed form: 0 meV per atom
total magnetic moment: 0.0 μB per cell
raw formation energy: -1.745 eV/atom

***

Material: NaYZnSe3
Method: DFT, PBE
State: optimized geometry

Cell and atoms, written as POSCAR:
```
NaYZnSe3
1.0
4.098 0.000 0.000
0.000 8.389 -0.236
0.000 -2.487 9.731
Na Y Zn Se
2 2 2 6
Cartesian
1.025 1.142 1.704
3.074 4.760 7.791
1.025 5.269 1.283
3.074 0.633 8.211
1.025 -0.820 5.838
3.074 6.722 3.657
3.074 7.309 1.261
1.025 -1.407 8.234
1.025 5.382 4.272
3.074 0.520 5.223
3.074 3.286 1.347
1.025 2.617 8.147
```

total magnetic moment: 0.0 μB per cell
raw formation energy: -1.318 eV/atom

***

Material: NaYZr2Se
Method: DFT, PBE
State: optimized geometry

Cell and atoms, written as POSCAR:
```
NaYZr2Se
1.0
5.108 0.000 0.000
0.000 5.443 0.000
0.000 0.000 5.108
Y Na Se Zr
1 1 1 2
Cartesian
0.000 2.722 0.000
2.554 2.722 2.554
0.000 0.000 0.000
0.000 0.000 2.554
2.554 0.000 0.000
```

total magnetic moment: 0.0 μB per cell
raw formation energy: -0.037 eV/atom

***

Material: Na4Y3ZrSe8
Method: DFT, PBE
State: optimized geometry

Cell and atoms, written as POSCAR:
```
Na4Y3ZrSe8
1.0
8.153 0.000 0.000
0.000 8.463 0.209
-4.077 -4.072 5.769
Na Y Zr Se
4 3 1 8
Cartesian
4.077 0.000 0.000
2.038 -2.036 2.884
0.000 0.000 0.000
-2.038 -2.036 2.884
4.077 4.231 0.105
2.038 2.196 2.989
-2.038 2.196 2.989
0.000 4.231 0.105
-2.105 2.127 5.869
0.000 4.230 2.891
0.000 0.177 3.005
2.105 2.127 5.869
1.972 2.264 0.109
4.077 4.214 2.973
4.077 0.161 3.087
6.181 2.264 0.109
```

total magnetic moment: 0.4 μB per cell
raw formation energy: -1.591 eV/atom

***

Material: NaYbSe2
Method: DFT, PBE
State: optimized geometry

Cell and atoms, written as POSCAR:
```
NaYbSe2
1.0
4.252 0.000 0.000
2.126 3.683 0.000
2.126 1.228 6.768
Na Yb Se
1 1 2
Cartesian
0.000 0.000 0.000
4.252 2.456 3.384
2.126 1.228 1.803
6.379 3.684 4.965
```

total magnetic moment: 0.0 μB per cell
raw formation energy: -1.266 eV/atom

***

Material: NaZn2Se
Method: DFT, PBE
State: optimized geometry

Cell and atoms, written as POSCAR:
```
NaZn2Se
1.0
8.375 0.000 0.000
0.000 8.375 0.000
4.187 4.187 2.636
Na Zn Se
2 4 2
Cartesian
4.187 4.187 0.000
4.187 8.375 1.318
6.779 2.094 0.659
1.595 6.281 0.659
6.281 5.783 1.977
10.468 10.966 1.977
0.000 0.000 0.000
8.375 4.187 1.318
```

total magnetic moment: 0.0 μB per cell
raw formation energy: -0.200 eV/atom

***

Material: NaZnSe3
Method: DFT, PBE
State: optimized geometry

Cell and atoms, written as POSCAR:
```
NaZnSe3
1.0
5.030 0.000 0.000
0.000 5.030 0.000
0.000 0.000 5.030
Na Zn Se
1 1 3
Cartesian
2.515 2.515 2.515
0.000 0.000 0.000
0.000 2.515 0.000
0.000 0.000 2.515
2.515 0.000 0.000
```

offset from the most stable computed form: 0 meV per atom
total magnetic moment: 0.0 μB per cell
raw formation energy: -0.078 eV/atom

***

Material: Na3Zn2Se4
Method: DFT, PBE
State: optimized geometry

Cell and atoms, written as POSCAR:
```
Na3Zn2Se4
1.0
4.024 0.000 -1.121
-0.738 6.425 -2.643
0.102 -0.077 8.152
Na Zn Se
3 2 4
Cartesian
0.140 3.451 0.500
3.248 2.897 3.887
0.000 0.000 0.000
2.005 6.238 -0.585
1.382 0.111 4.972
1.508 4.635 -2.366
0.771 1.274 2.765
1.880 1.713 6.753
2.617 5.074 1.622
```

total magnetic moment: 0.4 μB per cell
raw formation energy: -0.801 eV/atom

***

Material: NaZn3Se
Method: DFT, PBE
State: optimized geometry

Cell and atoms, written as POSCAR:
```
NaZn3Se
1.0
5.166 0.000 0.000
0.000 5.166 0.000
0.000 0.000 5.166
Na Zn Se
1 3 1
Cartesian
2.583 2.583 2.583
0.000 2.583 0.000
0.000 0.000 2.583
2.583 0.000 0.000
0.000 0.000 0.000
```

offset from the most stable computed form: 0 meV per atom
total magnetic moment: 0.0 μB per cell
raw formation energy: 0.319 eV/atom

***

Material: NaZnSe3
Method: DFT, PBE
State: optimized geometry

Cell and atoms, written as POSCAR:
```
NaZnSe3
1.0
-2.370 -3.856 -2.456
0.970 -3.128 3.975
-4.468 1.367 2.166
Na Zn Se
1 1 3
Cartesian
0.000 0.000 0.000
-2.934 -2.809 1.843
0.485 -1.564 1.987
-2.234 0.683 1.083
-1.185 -1.928 -1.228
```

offset from the most stable computed form: 782 meV per atom
total magnetic moment: 0.9 μB per cell
raw formation energy: 0.704 eV/atom